No. 1
VASP calculation (PBE-GGA) on a geometry-optimized TlAsO4 structure.

```
data_TlAsO4
_chemical_formula_sum 'Tl2 As2 O8'
_cell_length_a 5.151
_cell_length_b 6.207
_cell_length_c 4.762
_cell_angle_alpha 90.00
_cell_angle_beta 90.00
_cell_angle_gamma 90.00
_space_group_name_H-M_alt 'P b a n'
_space_group_IT_number 50
loop_
_space_group_symop_operation_xyz
'x,y,z'
'-x,-y,-z'
'-x+1/2,-y+1/2,z'
'x+1/2,y+1/2,-z'
'x,-y+1/2,-z'
'-x,y+1/2,z'
'-x+1/2,y,-z'
'x+1/2,-y,z'
loop_
_atom_site_label
_atom_site_fract_x
_atom_site_fract_y
_atom_site_fract_z
Tl1 0.250 0.250 0.000
As1 0.250 0.750 0.500
O1 0.059 0.599 0.269
```

Properties
DOS(E_F) ... 0.5182 states/eV per atom
Uncorrected formation energy ... -903 meV/atom



No. 2
VASP calculation (PBE-GGA) on a geometry-optimized TlAsO4 structure.

```
data_TlAsO4
_chemical_formula_sum 'Tl4 As4 O16'
_cell_length_a 4.972
_cell_length_b 4.972
_cell_length_c 12.077
_cell_angle_alpha 90.00
_cell_angle_beta 90.00
_cell_angle_gamma 90.00
_space_group_name_H-M_alt 'I 41/a'
_space_group_IT_number 88
loop_
_space_group_symop_operation_xyz
'x,y,z'
'-x,-y,-z'
'-y+3/4,x+1/4,z+1/4'
'y+3/4,-x+1/4,-z+1/4'
'-x+1/2,-y,z+1/2'
'x+1/2,y,-z+1/2'
'y+3/4,-x+3/4,z+3/4'
'-y+3/4,x+3/4,-z+3/4'
'x+1/2,y+1/2,z+1/2'
'-x+1/2,-y+1/2,-z+1/2'
'-y+1/4,x+3/4,z+3/4'
'y+1/4,-x+3/4,-z+3/4'
'-x,-y+1/2,z'
'x,y+1/2,-z'
'y+1/4,-x+1/4,z+1/4'
'-y+1/4,x+1/4,-z+1/4'
loop_
_atom_site_label
_atom_site_fract_x
_atom_site_fract_y
_atom_site_fract_z
Tl1 0.000 0.250 0.125
As1 0.000 0.250 0.625
O1 0.162 0.001 0.701
```

Properties
DOS(E_F) ... 0.6281 states/eV per atom
Uncorrected formation energy ... -946 meV/atom



No. 3
VASP calculation (PBE-GGA) on a geometry-optimized TlAsO3 structure.

```
data_TlAsO3
_chemical_formula_sum 'Tl3 As3 O9'
_cell_length_a 6.0538
_cell_length_b 6.0538
_cell_length_c 8.6740
_cell_angle_alpha 90.00
_cell_angle_beta 90.00
_cell_angle_gamma 120.00
_space_group_name_H-M_alt 'R 3 m'
_space_group_IT_number 160
_space_group_name_Hall 'R 3 -2"'
loop_
_atom_site_label
_atom_site_fract_x
_atom_site_fract_y
_atom_site_fract_z
Tl1 0.0000 0.0000 0.0000
As1 0.0000 0.0000 0.3473
O1 0.1916 0.3831 0.8928
```

Properties
Uncorrected formation energy ... -913 meV/atom



No. 4
VASP calculation (PBE-GGA) on a geometry-optimized TlAsO3 structure.

```
data_TlAsO3
_chemical_formula_sum 'Tl8 As8 O24'
_cell_length_a 11.794
_cell_length_b 12.771
_cell_length_c 5.035
_cell_angle_alpha 90.00
_cell_angle_beta 90.71
_cell_angle_gamma 90.00
_space_group_name_H-M_alt 'C 1 2/c 1'
_space_group_IT_number 15
_space_group_name_Hall '-C 2yc'
loop_
_atom_site_label
_atom_site_fract_x
_atom_site_fract_y
_atom_site_fract_z
Tl1 0.000 0.107 0.250
Tl2 0.000 0.308 0.750
As1 0.229 0.419 0.215
O1 0.129 0.092 0.760
O2 0.141 0.321 0.278
O3 0.187 0.461 0.884
```

Properties
DOS(E_F) ... 0.0000 states/eV per atom
Uncorrected formation energy ... -1098 meV/atom



What is the uncorrected formation energy in the third record?
-913 meV/atom